Record 1
{"formula": "HoEr4Ni2", "functional": "PBE-GGA", "state": "relaxed", "mass_density_g_cm3": 9.26, "delta_e_f_ev_per_atom": -0.17, "dos_at_fermi_per_ev_fu": 8.91, "lattice": [[6.301, 0.000, 0.000], [0.000, 6.893, -2.893], [0.000, 0.061, 7.829]], "species": ["Ho", "Ho", "Er", "Er", "Er", "Er", "Er", "Er", "Er", "Er", "Ni", "Ni", "Ni", "Ni"], "frac_coords": [[0.250, 0.849, 0.973], [0.750, 0.151, 0.027], [0.504, 0.408, 0.768], [0.250, 0.252, 0.344], [0.750, 0.748, 0.656], [0.996, 0.408, 0.768], [0.750, 0.026, 0.388], [0.004, 0.592, 0.232], [0.496, 0.592, 0.232], [0.250, 0.974, 0.612], [0.250, 0.255, 0.993], [0.750, 0.745, 0.007], [0.750, 0.382, 0.415], [0.250, 0.618, 0.585]]}

=====

Record 2
{"formula": "BaLi2CuHg", "functional": "PBE-GGA", "state": "relaxed", "mass_density_g_cm3": 5.22, "delta_e_f_ev_per_atom": -0.07, "dos_at_fermi_per_ev_fu": 3.16, "lattice": [[-2.486, 3.966, 1.945], [-3.379, -3.145, 2.094], [2.886, -0.274, 4.247]], "species": ["Li", "Li", "Hg", "Cu", "Ba"], "frac_coords": [[0.000, 0.500, 0.000], [0.500, 0.000, 0.000], [0.000, 0.000, 0.500], [0.000, 0.000, 0.000], [0.500, 0.500, 0.500]]}

=====

Record 3
{"formula": "TbHo4Zn2", "functional": "PBE-GGA", "state": "relaxed", "mass_density_g_cm3": 7.65, "delta_e_f_ev_per_atom": 0.14, "dos_at_fermi_per_ev_fu": 9.83, "lattice": [[-0.776, 2.694, 4.049], [-4.261, 2.400, 0.581], [-5.488, -6.152, 6.035]], "species": ["Tb", "Ho", "Ho", "Ho", "Ho", "Zn", "Zn"], "frac_coords": [[0.500, 0.500, 0.500], [0.702, 0.702, 0.895], [0.899, 0.899, 0.303], [0.298, 0.298, 0.105], [0.101, 0.101, 0.697], [0.600, 0.600, 0.199], [0.400, 0.400, 0.801]]}

=====

Record 4
{"formula": "CrTcS", "functional": "PBE-GGA", "state": "relaxed", "mass_density_g_cm3": 7.80, "dos_at_fermi_per_ev_fu": 2.28, "formation_energy_uncorrected_ev_per_fu": -0.266, "lattice": [[-2.138, 1.669, 1.149], [1.674, -2.654, 3.192], [4.009, 4.911, 0.328]], "species": ["Tc", "Tc", "Cr", "Cr", "S", "S"], "frac_coords": [[0.840, 0.680, 0.856], [0.160, 0.320, 0.144], [0.636, 0.272, 0.476], [0.364, 0.728, 0.524], [0.901, 0.802, 0.249], [0.099, 0.198, 0.751]]}

=====

Record 5
{"formula": "Tm2PuUO8", "functional": "PBE-GGA", "state": "relaxed", "mass_density_g_cm3": 10.51, "dos_at_fermi_per_ev_fu": 7.91, "formation_energy_uncorrected_ev_per_fu": -40.564, "lattice": [[3.761, -0.031, -0.002], [0.040, 5.300, -0.006], [0.005, 0.008, 7.515]], "species": ["Tm", "Tm", "Pu", "U", "O", "O", "O", "O", "O", "O", "O", "O"], "frac_coords": [[0.500, 0.500, 0.749], [0.500, 0.500, 0.251], [0.000, 0.000, 0.500], [0.000, 0.000, 0.000], [0.000, 0.758, 0.237], [0.500, 0.763, 0.000], [0.000, 0.242, 0.237], [0.000, 0.242, 0.763], [0.500, 0.237, 0.000], [0.000, 0.758, 0.763], [0.500, 0.753, 0.500], [0.500, 0.247, 0.500]]}

=====

Record 6
{"formula": "NdTm2HfN4", "functional": "PBE-GGA", "state": "relaxed", "mass_density_g_cm3": 10.62, "dos_at_fermi_per_ev_fu": 1.22, "formation_energy_uncorrected_ev_per_fu": -13.340, "lattice": [[3.399, 0.000, 0.000], [0.000, 5.937, 0.128], [0.000, -2.053, 5.506]], "species": ["Nd", "Tm", "Tm", "Hf", "N", "N", "N", "N"], "frac_coords": [[0.500, 0.500, 0.000], [0.500, 0.000, 0.500], [0.000, 0.500, 0.500], [0.000, 0.000, 0.000], [0.500, 0.230, 0.242], [0.500, 0.770, 0.758], [0.000, 0.227, 0.748], [0.000, 0.773, 0.252]]}